5
Lattice="3.705 0.000 0.000 0.000 3.705 0.000 0.000 0.000 6.136" Properties=species:S:1:pos:R:3 comment="CoRhIO2, optimized geometry, DFT GGA+U" sg="P4/mmm (123)" m_tot_mub_per_cell=4.462 de_polymorph_kj_per_mol_atoms=18.39 pbc="T T T"
I 0.000 0.000 3.068
Co 0.000 0.000 0.000
Rh 1.852 1.852 3.068
O 0.000 1.852 0.000
O 1.852 0.000 0.000